## InWAuSeS2 (GGA-PBE)

Data for InWAuSeS2 after structural relaxation.

Cell and atoms, written as CIF:
```
data_InWAuSeS2
_symmetry_space_group_name_H-M 'P 1'
_symmetry_Int_Tables_number 1
_symmetry_space_group_name_Hall 'P 1'
_cell_length_a 8.285
_cell_length_b 8.285
_cell_length_c 9.732
_cell_angle_alpha 90.00
_cell_angle_beta 90.00
_cell_angle_gamma 156.67
loop_
_atom_site_label
_atom_site_type_symbol
_atom_site_fract_x
_atom_site_fract_y
_atom_site_fract_z
Au1 Au 0.316 0.684 0.250
Au2 Au 0.684 0.316 0.750
In1 In 0.680 0.320 0.250
In2 In 0.320 0.680 0.750
S1 S 0.392 0.608 0.028
S2 S 0.392 0.608 0.472
S3 S 0.608 0.392 0.528
S4 S 0.608 0.392 0.972
Se1 Se 0.035 0.965 0.250
Se2 Se 0.965 0.035 0.750
W1 W 0.000 0.000 0.000
W2 W 0.000 0.000 0.500
```

Results
total DFT energy (no corrections) = -64.1 eV/cell